Compound: RbNaSrCa
Source: Alexandria via LeMat-Bulk
Functional: PBE
Structure: relaxed

Cell: 9.5358 9.5358 9.5358 Å, 90.00 90.00 90.00°
Space group F-43m (No. 216)
Inequivalent atoms, fractional coordinates:
Rb 0.0000 0.0000 0.0000
Na 0.2500 0.2500 0.7500
Sr 0.0000 0.0000 0.5000
Ca 0.2500 0.2500 0.2500

Output
ΔE_f = 67 kJ/mol of formula units